1.
Zr6Zn5In | PBE | relaxed

Unit cell a=4.694 b=7.022 c=8.208 alpha=115.33 beta=106.62 gamma=90.00
Positions (direct):
Zr 0.500 0.735 0.000
Zr 0.830 0.573 0.660
Zr 0.500 0.265 0.000
Zr 0.170 0.427 0.340
Zr 0.170 0.913 0.340
Zr 0.830 0.087 0.660
Zn 0.330 0.330 0.661
Zn 0.338 0.838 0.675
Zn 0.000 0.500 0.000
Zn 0.670 0.670 0.339
Zn 0.662 0.162 0.325
In 0.000 0.000 0.000

Values from the calculation:
DOS at the Fermi energy in states/eV/atom: 0.49
M_tot in μB/atom: 0.000
Calculated formation energy in eV per atom: -0.252

---

2.
PmGaH | PBE | relaxed

Unit cell a=3.209 b=3.209 c=6.022 alpha=105.44 beta=105.44 gamma=90.04
Positions (direct):
H 0.270 0.270 0.540
Ga 0.004 0.004 0.009
Pm 0.726 0.726 0.451

Values from the calculation:
DOS at the Fermi energy in states/eV/atom: 0.86
Energy above the lowest structure with this stoichiometry in meV/atom: 512
M_tot in μB/atom: 0.016

---

3.
Tb2Tm4Th | PBE | relaxed

Unit cell a=6.564 b=8.928 c=8.928 alpha=78.90 beta=68.43 gamma=68.43
Positions (direct):
Tm 0.857 0.636 0.649
Tm 0.784 0.238 0.738
Tm 0.143 0.851 0.864
Tm 0.857 0.149 0.136
Tm 0.143 0.364 0.351
Tm 0.759 0.762 0.262
Tm 0.241 0.238 0.738
Tm 0.216 0.762 0.262
Tb 0.276 0.974 0.474
Tb 0.500 0.500 0.500
Tb 0.724 0.026 0.526
Tb 0.500 0.000 0.000
Th 0.000 0.500 0.000
Th 0.500 0.500 0.000

Values from the calculation:
DOS at the Fermi energy in states/eV/atom: 1.65
Energy above the lowest structure with this stoichiometry in meV/atom: 293
M_tot in μB/atom: 0.000
Calculated formation energy in eV per atom: 0.311